1.
Here is crystalline Mg2FeIr at its relaxed geometry from the Alexandria database. Energies are from PBE.

```
4
Lattice="5.175 0.018 0.047 4.180 3.051 0.047 1.890 0.620 3.909" Properties=species:S:1:pos:R:3 pbc="T T T"
Ir 8.434 2.767 3.002
Mg 5.621 1.844 2.000
Mg 0.001 0.000 0.001
Fe 2.811 0.922 1.001
```

Computed properties:
The space group is C2/m. The calculation puts the energy of formation at -0.0345 eV per atom.



2.
Here is crystalline Mg2FeIr at its relaxed geometry from the Alexandria database. Energies are from PBE.

```
4
Lattice="-1.264 -1.716 -3.882 -0.855 -2.448 1.361 -4.413 1.880 0.606" Properties=species:S:1:pos:R:3 pbc="T T T"
Mg -2.037 -0.610 -1.593
Mg -4.296 1.477 0.746
Ir -4.568 -0.940 -0.623
Fe -2.679 -0.616 1.144
```

Computed properties:
The space group is Pmm2. The calculation puts the energy of formation at -0.0417 eV per atom.



3.
Here is crystalline MgFeIr6 at its relaxed geometry from the Alexandria database. Energies are from PBE.

```
8
Lattice="3.859 0.000 0.000 0.000 3.859 0.000 0.000 0.000 7.736" Properties=species:S:1:pos:R:3 pbc="T T T"
Ir 1.930 0.000 1.998
Ir 1.930 0.000 5.738
Ir 0.000 1.930 5.738
Ir 1.930 1.930 3.868
Ir 0.000 1.930 1.998
Ir 1.930 1.930 0.000
Mg 0.000 0.000 0.000
Fe 0.000 0.000 3.868
```

Computed properties:
The space group is P4/mmm. The calculation puts the energy of formation at -0.0838 eV per atom.



4.
Here is crystalline MgFeIr2 at its relaxed geometry from the Alexandria database. Energies are from PBE.

```
4
Lattice="-3.511 0.567 -2.167 -1.481 -0.627 2.236 -0.790 4.626 2.491" Properties=species:S:1:pos:R:3 pbc="T T T"
Mg -2.324 1.283 0.098
Fe -3.459 3.283 2.461
Ir -2.112 3.994 4.467
Ir -1.296 2.004 2.623
```

Computed properties:
The space group is P2/m. The calculation puts the energy of formation at -0.0886 eV per atom.



5.
Here is crystalline MgFe2Ir at its relaxed geometry from the Alexandria database. Energies are from PBE.

```
4
Lattice="4.199 -0.760 0.000 0.744 4.202 0.000 -2.471 -1.721 3.023" Properties=species:S:1:pos:R:3 pbc="T T T"
Ir 2.471 1.721 0.000
Mg 2.099 -0.380 1.511
Fe 0.372 2.101 1.511
Fe 0.000 0.000 0.000
```

Computed properties:
The space group is I-4m2. The calculation puts the energy of formation at 0.0020 eV per atom.



6.
Here is crystalline Mg2FeIr at its relaxed geometry from the Alexandria database. Energies are from PBE.

```
4
Lattice="-1.877 -0.730 -2.514 3.543 -0.912 -2.379 -0.172 -4.127 1.326" Properties=species:S:1:pos:R:3 pbc="T T T"
Ir 1.685 -2.519 -0.526
Mg 0.000 0.000 0.000
Mg 0.833 -0.821 -2.447
Fe -1.024 -2.428 -0.594
```

Computed properties:
The space group is Pmmm. The calculation puts the energy of formation at -0.0308 eV per atom.



7.
Here is crystalline Mg2FeIr at its relaxed geometry from the Alexandria database. Energies are from PBE.

```
4
Lattice="3.169 0.000 0.000 0.000 3.169 0.000 0.000 0.000 6.124" Properties=species:S:1:pos:R:3 pbc="T T T"
Mg 0.000 0.000 6.057
Mg 0.000 0.000 3.130
Fe 1.585 1.585 1.531
Ir 1.585 1.585 4.593
```

Computed properties:
The space group is P4/mmm. The calculation puts the energy of formation at 0.0157 eV per atom.



8.
Here is crystalline Mg2FeIr at its relaxed geometry from the Alexandria database. Energies are from PBE.

```
4
Lattice="-5.824 -1.988 6.525 -6.635 -3.923 4.587 -4.463 -4.492 6.352" Properties=species:S:1:pos:R:3 pbc="T T T"
Ir -12.691 -7.802 13.098
Fe -4.230 -2.601 4.366
Mg -8.446 -5.192 8.717
Mg -0.015 -0.009 0.015
```

Computed properties:
The space group is R-3m. The calculation puts the energy of formation at 0.0615 eV per atom.



What did the eighth record say?
Here is crystalline Mg2FeIr at its relaxed geometry from the Alexandria database. Energies are from PBE.

```
4
Lattice="-5.824 -1.988 6.525 -6.635 -3.923 4.587 -4.463 -4.492 6.352" Properties=species:S:1:pos:R:3 pbc="T T T"
Ir -12.691 -7.802 13.098
Fe -4.230 -2.601 4.366
Mg -8.446 -5.192 8.717
Mg -0.015 -0.009 0.015
```

Computed properties:
The space group is R-3m. The calculation puts the energy of formation at 0.0615 eV per atom.



Q: energy of formation of number 5 (MgFe2Ir)?
A: 0.0020 eV per atom